No. 1
Material: Er3Tl3Ag2
Method: DFT, PBE
State: relaxed

Summary:
Energy of formation ... -0.2236 eV/atom
Energy above the most stable polymorph in this dataset ... 0.052 eV/atom

CIF file:
```
data_Er3Tl3Ag2
_chemical_formula_sum 'Er6 Tl6 Ag4'
_symmetry_space_group_name_H-M 'P 1'
_symmetry_Int_Tables_number 1
_symmetry_space_group_name_Hall 'P 1'
_cell_length_a 4.669
_cell_length_b 6.063
_cell_length_c 15.445
_cell_angle_alpha 90.00
_cell_angle_beta 90.00
_cell_angle_gamma 112.65
loop_
_atom_site_label
_atom_site_fract_x
_atom_site_fract_y
_atom_site_fract_z
Er1 0.919 0.839 0.390
Ag1 0.207 0.415 0.115
Er2 0.339 0.679 0.750
Er3 0.661 0.321 0.250
Tl1 0.624 0.247 0.037
Ag2 0.793 0.585 0.885
Er4 0.919 0.839 0.110
Ag3 0.793 0.585 0.615
Er5 0.081 0.161 0.890
Er6 0.081 0.161 0.610
Tl2 0.376 0.753 0.537
Ag4 0.207 0.415 0.385
Tl3 0.383 0.765 0.250
Tl4 0.624 0.247 0.463
Tl5 0.376 0.753 0.963
Tl6 0.617 0.235 0.750
```


No. 2
Material: AlFe4Cl
Method: DFT, PBE
State: relaxed

Summary:
Electronic total energy ... -6.155 eV per atom

CIF file:
```
data_AlFe4Cl
_chemical_formula_sum 'Al1 Fe4 Cl1'
_symmetry_space_group_name_H-M 'P 1'
_symmetry_Int_Tables_number 1
_symmetry_space_group_name_Hall 'P 1'
_cell_length_a 4.994
_cell_length_b 4.994
_cell_length_c 4.994
_cell_angle_alpha 60.00
_cell_angle_beta 60.00
_cell_angle_gamma 60.00
loop_
_atom_site_label
_atom_site_fract_x
_atom_site_fract_y
_atom_site_fract_z
Fe1 0.377 0.870 0.377
Cl1 0.000 0.000 0.000
Fe2 0.377 0.377 0.377
Fe3 0.377 0.377 0.870
Fe4 0.870 0.377 0.377
Al1 0.750 0.750 0.750
```


No. 3
Material: Ba2ZrInSe5
Method: DFT, PBE
State: relaxed

Summary:
Electronic total energy ... -5.031 eV per atom

CIF file:
```
data_Ba2ZrInSe5
_chemical_formula_sum 'Ba4 Zr2 In2 Se10'
_symmetry_space_group_name_H-M 'P 1'
_symmetry_Int_Tables_number 1
_symmetry_space_group_name_Hall 'P 1'
_cell_length_a 4.272
_cell_length_b 9.648
_cell_length_c 13.423
_cell_angle_alpha 90.00
_cell_angle_beta 90.00
_cell_angle_gamma 102.79
loop_
_atom_site_label
_atom_site_fract_x
_atom_site_fract_y
_atom_site_fract_z
Se1 0.690 0.381 0.880
Se2 0.940 0.881 0.559
Zr1 0.213 0.426 0.020
Se3 0.289 0.577 0.652
Se4 0.647 0.295 0.503
In1 0.550 0.100 0.944
Se5 0.310 0.619 0.380
In2 0.450 0.900 0.444
Zr2 0.787 0.574 0.520
Se6 0.711 0.423 0.152
Ba1 0.863 0.726 0.809
Se7 0.353 0.705 0.003
Se8 0.060 0.119 0.059
Ba2 0.882 0.764 0.188
Ba3 0.118 0.236 0.688
Se9 0.506 0.011 0.268
Se10 0.494 0.989 0.768
Ba4 0.137 0.274 0.309
```


No. 4
Material: TbPm6Nd3
Method: DFT, PBE
State: relaxed

Summary:
Energy of formation ... 0.1363 eV/atom
Energy above the most stable polymorph in this dataset ... 0.000 eV/atom

CIF file:
```
data_TbPm6Nd3
_chemical_formula_sum 'Tb2 Pm12 Nd6'
_symmetry_space_group_name_H-M 'P 1'
_symmetry_Int_Tables_number 1
_symmetry_space_group_name_Hall 'P 1'
_cell_length_a 6.496
_cell_length_b 11.130
_cell_length_c 11.130
_cell_angle_alpha 120.67
_cell_angle_beta 90.00
_cell_angle_gamma 90.00
loop_
_atom_site_label
_atom_site_fract_x
_atom_site_fract_y
_atom_site_fract_z
Pm1 0.871 0.942 0.525
Nd1 0.462 0.941 0.708
Nd2 0.080 0.385 0.615
Pm2 0.871 0.475 0.058
Pm3 0.057 0.372 0.288
Pm4 0.557 0.628 0.712
Tb1 0.615 0.809 0.191
Pm5 0.057 0.712 0.628
Nd3 0.962 0.708 0.941
Pm6 0.859 0.035 0.965
Pm7 0.651 0.276 0.724
Nd4 0.580 0.615 0.385
Tb2 0.115 0.191 0.809
Pm8 0.557 0.288 0.372
Pm9 0.359 0.965 0.035
Pm10 0.151 0.724 0.276
Pm11 0.371 0.058 0.475
Pm12 0.371 0.525 0.942
Nd5 0.962 0.059 0.292
Nd6 0.462 0.292 0.059
```


No. 5
Material: PuPO4
Method: DFT, PBE
State: relaxed

Summary:
Electronic total energy ... -8.933 eV per atom

CIF file:
```
data_PuPO4
_chemical_formula_sum 'Pu2 P2 O8'
_symmetry_space_group_name_H-M 'P 1'
_symmetry_Int_Tables_number 1
_symmetry_space_group_name_Hall 'P 1'
_cell_length_a 4.088
_cell_length_b 6.660
_cell_length_c 7.182
_cell_angle_alpha 90.00
_cell_angle_beta 90.00
_cell_angle_gamma 103.47
loop_
_atom_site_label
_atom_site_fract_x
_atom_site_fract_y
_atom_site_fract_z
O1 0.071 0.690 0.420
O2 0.125 0.014 0.750
O3 0.071 0.690 0.080
P1 0.874 0.157 0.750
O4 0.458 0.359 0.250
O5 0.929 0.310 0.580
O6 0.875 0.986 0.250
Pu1 0.045 0.652 0.750
Pu2 0.955 0.348 0.250
O7 0.929 0.310 0.920
O8 0.542 0.641 0.750
P2 0.126 0.843 0.250
```


No. 6
Material: Ag8PtAu2
Method: DFT, PBE
State: relaxed

Summary:
Energy of formation ... 0.1462 eV/atom
Energy above the most stable polymorph in this dataset ... 0.097 eV/atom

CIF file:
```
data_Ag8PtAu2
_chemical_formula_sum 'Ag8 Pt1 Au2'
_symmetry_space_group_name_H-M 'P 1'
_symmetry_Int_Tables_number 1
_symmetry_space_group_name_Hall 'P 1'
_cell_length_a 4.862
_cell_length_b 7.243
_cell_length_c 7.243
_cell_angle_alpha 62.62
_cell_angle_beta 79.43
_cell_angle_gamma 79.43
loop_
_atom_site_label
_atom_site_fract_x
_atom_site_fract_y
_atom_site_fract_z
Ag1 0.100 0.772 0.772
Ag2 0.665 0.647 0.647
Ag3 0.791 0.617 0.248
Au1 0.459 0.118 0.118
Pt1 0.000 0.000 0.000
Ag4 0.335 0.353 0.353
Ag5 0.209 0.383 0.752
Ag6 0.791 0.248 0.617
Au2 0.541 0.882 0.882
Ag7 0.209 0.752 0.383
Ag8 0.900 0.228 0.228
```


No. 7
Material: LaRu2Pb2
Method: DFT, PBE
State: relaxed

Summary:
Energy of formation ... 0.0031 eV/atom
Energy above the most stable polymorph in this dataset ... 0.000 eV/atom

CIF file:
```
data_LaRu2Pb2
_chemical_formula_sum 'La1 Ru2 Pb2'
_symmetry_space_group_name_H-M 'P 1'
_symmetry_Int_Tables_number 1
_symmetry_space_group_name_Hall 'P 1'
_cell_length_a 4.731
_cell_length_b 4.731
_cell_length_c 6.273
_cell_angle_alpha 67.85
_cell_angle_beta 67.85
_cell_angle_gamma 90.00
loop_
_atom_site_label
_atom_site_fract_x
_atom_site_fract_y
_atom_site_fract_z
Ru1 0.391 0.391 0.218
Pb1 0.750 0.250 0.500
La1 0.000 0.000 0.000
Ru2 0.609 0.609 0.782
Pb2 0.250 0.750 0.500
```


No. 8
Material: CdCuRe
Method: DFT, PBE
State: relaxed

Summary:
Energy of formation ... 1.0673 eV/atom
Energy above the most stable polymorph in this dataset ... 0.674 eV/atom

CIF file:
```
data_CdCuRe
_chemical_formula_sum 'Cd1 Cu1 Re1'
_symmetry_space_group_name_H-M 'P 1'
_symmetry_Int_Tables_number 1
_symmetry_space_group_name_Hall 'P 1'
_cell_length_a 4.222
_cell_length_b 4.222
_cell_length_c 4.222
_cell_angle_alpha 60.00
_cell_angle_beta 60.00
_cell_angle_gamma 60.00
loop_
_atom_site_label
_atom_site_fract_x
_atom_site_fract_y
_atom_site_fract_z
Cu1 0.750 0.750 0.750
Cd1 0.500 0.500 0.500
Re1 0.000 0.000 0.000
```


No. 9
Material: Y2Er6TmSc3
Method: DFT, PBE
State: relaxed

Summary:
Energy of formation ... 0.0469 eV/atom

CIF file:
```
data_Y2Er6TmSc3
_chemical_formula_sum 'Y2 Er6 Tm1 Sc3'
_symmetry_space_group_name_H-M 'P 1'
_symmetry_Int_Tables_number 1
_symmetry_space_group_name_Hall 'P 1'
_cell_length_a 5.999
_cell_length_b 5.999
_cell_length_c 11.411
_cell_angle_alpha 95.02
_cell_angle_beta 95.02
_cell_angle_gamma 119.96
loop_
_atom_site_label
_atom_site_fract_x
_atom_site_fract_y
_atom_site_fract_z
Er1 0.581 0.913 0.741
Tm1 0.000 0.000 0.000
Er2 0.246 0.246 0.741
Sc1 0.167 0.833 0.500
Sc2 0.833 0.167 0.500
Er3 0.754 0.754 0.259
Y1 0.333 0.667 0.000
Er4 0.087 0.419 0.259
Er5 0.913 0.581 0.741
Er6 0.419 0.087 0.259
Sc3 0.500 0.500 0.500
Y2 0.667 0.333 0.000
```


No. 10
Material: GaPdS2N
Method: DFT, PBE
State: relaxed

Summary:
Energy above the most stable polymorph in this dataset ... 0.000 eV/atom

CIF file:
```
data_GaPdS2N
_chemical_formula_sum 'Ga1 Pd1 S2 N1'
_symmetry_space_group_name_H-M 'P 1'
_symmetry_Int_Tables_number 1
_symmetry_space_group_name_Hall 'P 1'
_cell_length_a 4.949
_cell_length_b 4.949
_cell_length_c 3.707
_cell_angle_alpha 90.00
_cell_angle_beta 90.00
_cell_angle_gamma 90.00
loop_
_atom_site_label
_atom_site_fract_x
_atom_site_fract_y
_atom_site_fract_z
Ga1 0.500 0.500 0.500
S1 0.500 0.000 0.000
N1 0.000 0.000 0.500
S2 0.000 0.500 0.000
Pd1 0.000 0.000 0.000
```


No. 11
Material: NpPdAuO6
Method: DFT, PBE
State: relaxed

Summary:
Electronic total energy ... -6.877 eV per atom

CIF file:
```
data_NpPdAuO6
_chemical_formula_sum 'Np2 Pd2 Au2 O12'
_symmetry_space_group_name_H-M 'P 1'
_symmetry_Int_Tables_number 1
_symmetry_space_group_name_Hall 'P 1'
_cell_length_a 5.369
_cell_length_b 5.369
_cell_length_c 9.763
_cell_angle_alpha 90.00
_cell_angle_beta 90.00
_cell_angle_gamma 120.00
loop_
_atom_site_label
_atom_site_fract_x
_atom_site_fract_y
_atom_site_fract_z
O1 0.999 0.649 0.863
O2 0.351 0.001 0.637
O3 0.999 0.350 0.637
Au1 0.000 0.000 0.500
O4 0.351 0.350 0.863
O5 0.650 0.001 0.863
Np1 0.333 0.667 0.750
Pd1 0.667 0.333 0.750
O6 0.001 0.650 0.363
Pd2 0.333 0.667 0.250
O7 0.350 0.999 0.137
O8 0.649 0.650 0.137
O9 0.650 0.649 0.637
O10 0.001 0.351 0.137
O11 0.350 0.351 0.363
Np2 0.667 0.333 0.250
Au2 0.000 0.000 0.000
O12 0.649 0.999 0.363
```


No. 12
Material: K2TbNpO4
Method: DFT, PBE
State: relaxed

Summary:
Electronic total energy ... -7.411 eV per atom

CIF file:
```
data_K2TbNpO4
_chemical_formula_sum 'K2 Tb1 Np1 O4'
_symmetry_space_group_name_H-M 'P 1'
_symmetry_Int_Tables_number 1
_symmetry_space_group_name_Hall 'P 1'
_cell_length_a 3.539
_cell_length_b 6.122
_cell_length_c 6.618
_cell_angle_alpha 108.09
_cell_angle_beta 90.00
_cell_angle_gamma 90.00
loop_
_atom_site_label
_atom_site_fract_x
_atom_site_fract_y
_atom_site_fract_z
O1 0.000 0.729 0.188
O2 0.500 0.773 0.813
K1 0.500 0.000 0.500
O3 0.500 0.227 0.187
Tb1 0.000 0.000 0.000
O4 0.000 0.271 0.812
Np1 0.500 0.500 0.000
K2 0.000 0.500 0.500
```


Copy entry 12 word for word.
Material: K2TbNpO4
Method: DFT, PBE
State: relaxed

Summary:
Electronic total energy ... -7.411 eV per atom

CIF file:
```
data_K2TbNpO4
_chemical_formula_sum 'K2 Tb1 Np1 O4'
_symmetry_space_group_name_H-M 'P 1'
_symmetry_Int_Tables_number 1
_symmetry_space_group_name_Hall 'P 1'
_cell_length_a 3.539
_cell_length_b 6.122
_cell_length_c 6.618
_cell_angle_alpha 108.09
_cell_angle_beta 90.00
_cell_angle_gamma 90.00
loop_
_atom_site_label
_atom_site_fract_x
_atom_site_fract_y
_atom_site_fract_z
O1 0.000 0.729 0.188
O2 0.500 0.773 0.813
K1 0.500 0.000 0.500
O3 0.500 0.227 0.187
Tb1 0.000 0.000 0.000
O4 0.000 0.271 0.812
Np1 0.500 0.500 0.000
K2 0.000 0.500 0.500
```


Please write out number 3 again, unchanged.
Material: Ba2ZrInSe5
Method: DFT, PBE
State: relaxed

Summary:
Electronic total energy ... -5.031 eV per atom

CIF file:
```
data_Ba2ZrInSe5
_chemical_formula_sum 'Ba4 Zr2 In2 Se10'
_symmetry_space_group_name_H-M 'P 1'
_symmetry_Int_Tables_number 1
_symmetry_space_group_name_Hall 'P 1'
_cell_length_a 4.272
_cell_length_b 9.648
_cell_length_c 13.423
_cell_angle_alpha 90.00
_cell_angle_beta 90.00
_cell_angle_gamma 102.79
loop_
_atom_site_label
_atom_site_fract_x
_atom_site_fract_y
_atom_site_fract_z
Se1 0.690 0.381 0.880
Se2 0.940 0.881 0.559
Zr1 0.213 0.426 0.020
Se3 0.289 0.577 0.652
Se4 0.647 0.295 0.503
In1 0.550 0.100 0.944
Se5 0.310 0.619 0.380
In2 0.450 0.900 0.444
Zr2 0.787 0.574 0.520
Se6 0.711 0.423 0.152
Ba1 0.863 0.726 0.809
Se7 0.353 0.705 0.003
Se8 0.060 0.119 0.059
Ba2 0.882 0.764 0.188
Ba3 0.118 0.236 0.688
Se9 0.506 0.011 0.268
Se10 0.494 0.989 0.768
Ba4 0.137 0.274 0.309
```